[1]
The following is a DFT calculation (PBE) of a relaxed structure of Ti2CuTc2.

Output
* spin magnetization: 0.0 μB/cell
* formation energy from the elements: 583 meV/atom
* mass density: 6.862 g cm⁻³
* ΔE to the lowest computed polymorph: 271 kJ/mol of formula units

```
Ti2CuTc2
1.0
-1.950 1.950 5.655
1.950 -1.950 5.655
1.950 1.950 -5.655
Ti Cu Tc
2 1 2
Cartesian
1.950 0.000 2.827
0.000 1.950 2.827
0.000 0.000 0.000
0.000 0.000 4.443
0.000 0.000 6.867
```

[2]
The following is a DFT calculation (PBE) of a relaxed structure of LiLaSc2Ru.

Output
* spin magnetization: 0.0 μB/cell
* formation energy from the elements: -38 meV/atom
* mass density: 4.424 g cm⁻³
* ΔE to the lowest computed polymorph: 2 kJ/mol of formula units

```
LiLaSc2Ru
1.0
4.910 0.000 0.000
0.000 4.910 0.000
0.000 0.000 5.245
Li La Sc Ru
1 1 2 1
Cartesian
0.000 0.000 0.000
2.455 2.455 0.000
0.000 2.455 2.623
2.455 0.000 2.623
0.000 0.000 2.623
```

[3]
The following is a DFT calculation (PBE) of a relaxed structure of PrDy4Th4.

Output
* spin magnetization: 0.0 μB/cell
* formation energy from the elements: 40 meV/atom
* mass density: 9.816 g cm⁻³

```
PrDy4Th4
1.0
-5.365 5.365 2.526
5.365 -5.365 2.526
5.365 5.365 -2.526
Pr Dy Th
1 4 4
Cartesian
0.000 0.000 0.000
3.537 3.537 0.000
1.828 -1.828 2.526
-1.828 1.828 2.526
1.828 1.828 2.526
3.614 0.000 0.000
7.116 0.000 0.000
0.000 3.614 0.000
0.000 7.116 0.000
```

[4]
The following is a DFT calculation (PBE) of a relaxed structure of Y2TlSb.

Output
* spin magnetization: 0.0 μB/cell
* mass density: 6.914 g cm⁻³
* uncorrected formation energy: -0.6005 eV per atom
* ΔE to the lowest computed polymorph: 59 kJ/mol of formula units

```
Y2TlSb
1.0
4.414 0.000 0.000
0.000 4.414 0.000
0.000 0.000 6.212
Y Tl Sb
2 1 1
Cartesian
0.000 0.000 0.000
2.207 2.207 3.106
0.000 0.000 3.106
2.207 2.207 0.000
```

[5]
The following is a DFT calculation (PBE) of a relaxed structure of Zr4In5Ir2.

Output
* spin magnetization: 0.0 μB/cell
* formation energy from the elements: -491 meV/atom
* mass density: 9.210 g cm⁻³

```
Zr4In5Ir2
1.0
7.618 0.000 0.000
0.000 3.339 0.000
-0.668 0.000 9.381
Zr In Ir
4 5 2
Cartesian
1.181 0.000 3.325
0.993 0.000 8.773
5.956 0.000 0.608
5.768 0.000 6.055
0.790 1.670 5.998
3.412 1.670 1.613
3.475 1.670 4.690
3.537 1.670 7.768
6.159 1.670 3.383
0.519 1.670 1.308
6.430 1.670 8.073
```

[6]
The following is a DFT calculation (PBE) of a relaxed structure of Hf2MgHIr.

Output
* spin magnetization: 0.0 μB/cell
* mass density: 12.556 g cm⁻³
* calculated total energy: -7.063 eV per atom

```
Hf2MgHIr
1.0
4.304 0.000 0.000
0.000 4.304 0.000
0.000 0.000 4.102
Hf Mg H Ir
2 1 1 1
Cartesian
0.000 2.152 0.000
2.152 0.000 0.000
0.000 0.000 2.051
0.000 0.000 0.000
2.152 2.152 2.051
```

[7]
The following is a DFT calculation (PBE) of a relaxed structure of BeNbMo.

Output
* spin magnetization: 0.0 μB/cell
* formation energy from the elements: -117 meV/atom
* mass density: 7.822 g cm⁻³
* ΔE to the lowest computed polymorph: 0 kJ/mol of formula units

```
BeNbMo
1.0
0.000 4.195 8.216
2.437 0.000 8.216
2.437 4.195 0.000
Be Nb Mo
4 4 4
Cartesian
0.609 1.049 0.007
4.265 7.342 16.426
0.609 1.049 4.101
4.265 7.342 12.331
1.828 3.147 4.819
1.828 3.147 7.506
3.046 5.244 8.927
3.046 5.244 11.614
1.828 0.373 6.162
3.046 2.471 10.270
1.828 5.920 6.162
3.046 8.018 10.270
```

[8]
The following is a DFT calculation (PBE) of a relaxed structure of AcTbP2Rh2.

Output
* spin magnetization: 0.0 μB/cell
* formation energy from the elements: -1197 meV/atom
* mass density: 8.872 g cm⁻³

```
AcTbP2Rh2
1.0
4.113 0.000 0.000
-2.057 3.562 0.000
0.000 0.000 8.351
Ac Tb P Rh
1 1 2 2
Cartesian
0.000 0.000 0.000
0.000 0.000 4.175
0.000 2.375 2.330
2.057 1.187 6.021
0.000 2.375 6.198
2.057 1.187 2.153
```

D(E_F)? In order: 6.13; 4.20; 13.90; 3.19; 5.01; 4.32; 6.79; 4.21 states/eV/cell.